Material: LiAc2YTe4
Method: DFT, GGA-PBE
State: optimized geometry

## Properties
E_form (uncorrected) = -134 kJ per mole of atoms
spin magnetization = 0.00 μB/f.u.

Structure (CIF):
```
data_LiAc2YTe4
_chemical_formula_sum 'Li1 Ac2 Y1 Te4'
_cell_length_a 7.812
_cell_length_b 4.548
_cell_length_c 7.921
_cell_angle_alpha 90.00
_cell_angle_beta 109.50
_cell_angle_gamma 90.00
_space_group_name_H-M_alt 'P 1 2/m 1'
_space_group_IT_number 10
loop_
_space_group_symop_operation_xyz
'x,y,z'
'-x,-y,-z'
'-x,y,-z'
'x,-y,z'
loop_
_atom_site_label
_atom_site_fract_x
_atom_site_fract_y
_atom_site_fract_z
Li1 0.000 0.000 0.000
Ac1 0.500 0.000 0.500
Ac2 0.500 0.500 0.000
Y1 0.000 0.500 0.500
Te1 0.221 0.500 0.237
Te2 0.222 0.000 0.746
```